VASP calculation (GGA+U) on a geometry-optimized VINO2 structure.

The total magnetic moment is 3.2 μB/f.u. The value obtained for the total energy is -0.17184 hartree per atom.

POSCAR file:
```
VINO2
1.0
4.106 0.000 0.000
0.000 4.106 0.000
0.000 0.000 4.176
I N O V
1 1 2 1
direct
0.000 0.000 0.000
0.000 0.000 0.500
0.000 0.500 0.000
0.500 0.000 0.000
0.500 0.500 0.500
```